Record 1
The following is a PBE-GGA calculation of crystalline KBaI2 at its relaxed geometry, from the Alexandria database.

Unit cell a=4.670 b=4.670 c=9.834 alpha=76.27 beta=76.27 gamma=60.00
Element x y z (fractional)
Ba 0.500 0.500 0.500
I 0.747 0.747 0.760
I 0.253 0.253 0.240
K 0.000 0.000 0.000

Results
E_tot: -2.874 eV per atom
total magnetization: 0.64 Bohr magnetons per cell
SG: No. 166


Record 2
The following is a PBE-GGA calculation of crystalline KBaI3 at its relaxed geometry, from the Alexandria database.

Unit cell a=6.295 b=6.295 c=6.295 alpha=90.00 beta=90.00 gamma=90.00
Element x y z (fractional)
Ba 0.500 0.500 0.500
I 0.000 0.500 0.000
I 0.000 0.000 0.500
I 0.500 0.000 0.000
K 0.000 0.000 0.000

Results
E_tot: -2.755 eV per atom
total magnetization: 0.00 Bohr magnetons per cell
SG: No. 221


Calculated values (g/cm³) of mass density for the records, taken in order: 4.00 3.71.
Calculated values (eV/atom) of uncorrected formation energy for the records, taken in order: -1.3438 -1.2209.